[1]
Density functional theory data (PBE) for a geometry-optimized CuAgAs2 structure.

E above lowest polymorph = 0.848 eV/f.u.
Symmetry = No. 122

Cell: 6.294 6.294 6.217 Å, 59.59 59.59 90.00°
Fractional positions:
1 As 0.375 0.405 0.750
2 As 0.875 0.845 0.750
3 As 0.155 0.625 0.250
4 As 0.595 0.125 0.250
5 Ag 0.750 0.250 0.500
6 Ag 0.000 0.000 0.000
7 Cu 0.500 0.500 0.000
8 Cu 0.250 0.750 0.500

=====

[2]
Density functional theory data (PBE) for a geometry-optimized Ta2TlZn structure.

Raw total energy = -24.5 eV per formula unit
Symmetry = No. 122

Cell: 3.962 3.962 10.699 Å, 79.33 79.33 90.00°
Fractional positions:
1 Ta 0.129 0.625 0.250
2 Ta 0.875 0.871 0.750
3 Ta 0.621 0.125 0.250
4 Ta 0.375 0.379 0.750
5 Zn 0.500 0.500 0.000
6 Zn 0.250 0.750 0.500
7 Tl 0.750 0.250 0.500
8 Tl 0.000 0.000 0.000

=====

Density of states at the Fermi level per entry: 1.83; 3.49 states/eV/f.u.